No. 1
An optimized crystal structure of CeUCuO6, computed with PBE.

Structure (extended XYZ):
```
18
Lattice="5.3280 0.0000 0.0000 -2.6640 4.6142 0.0000 0.0000 0.0000 10.1735" Properties=species:S:1:pos:R:3 pbc="T T T"
Ce 0.0000 0.0000 0.0000
Ce 0.0000 0.0000 5.0868
U 2.6640 1.5381 2.5434
U 0.0000 3.0761 7.6302
Cu 0.0000 3.0761 2.5434
Cu 2.6640 1.5381 7.6302
O 1.7601 3.0232 1.3791
O 4.4022 1.5783 1.3791
O -0.8342 4.6015 6.4659
O -1.7382 3.0359 8.7944
O 0.9259 1.5783 3.7077
O 3.5679 3.0232 3.7077
O 0.8342 4.6015 8.7944
O 3.4982 0.0127 3.7077
O -0.9039 1.5910 6.4659
O 1.8298 0.0127 1.3791
O 1.7382 3.0359 6.4659
O 0.9039 1.5910 8.7944
```

Summary:
Raw total energy: -8.21 eV per atom
Spin magnetization: 2.01 μB per cell


No. 2
An optimized crystal structure of MgSbS2Cl, computed with PBE.

Structure (extended XYZ):
```
5
Lattice="-2.6481 -4.0123 1.8320 2.3261 -3.0859 -3.3962 3.6945 -0.9068 3.3543" Properties=species:S:1:pos:R:3 pbc="T T T"
Sb 0.0000 0.0000 0.0000
S 1.1630 -1.5430 -1.6981
S -1.3241 -2.0062 0.9160
Mg 1.6862 -4.0025 0.8950
Cl 1.8472 -0.4534 1.6771
```

Summary:
Raw total energy: -3.27 eV per atom
Spin magnetization: 0.00 μB per cell


No. 3
An optimized crystal structure of Y3Ir, computed with PBE.

Structure (extended XYZ):
```
4
Lattice="3.8590 0.0000 0.0000 -1.9295 9.4370 -0.0118 1.9295 -0.3904 3.3191" Properties=species:S:1:pos:R:3 pbc="T T T"
Ir 0.0000 0.0000 0.0000
Y 0.0000 7.6859 0.9039
Y 1.9295 4.5233 1.6537
Y 3.8590 1.3608 2.4034
```

Summary:
ΔE_f: -0.280 eV/atom
Raw total energy: -7.34 eV per atom
Spin magnetization: 0.93 μB per cell


No. 4
An optimized crystal structure of Tl2RuO6, computed with PBE.

Structure (extended XYZ):
```
18
Lattice="-1.7568 5.2558 1.2324 -2.7178 -1.9106 4.2740 7.2374 1.2133 5.1446" Properties=species:S:1:pos:R:3 pbc="T T T"
Tl 2.6671 5.2697 7.4750
Tl 1.4810 1.5708 8.4953
Tl 1.2818 2.9877 2.1556
Tl 0.0957 -0.7112 3.1760
Ru -2.2373 1.6726 2.7532
Ru 3.6187 0.6066 2.5723
O -1.1625 3.4028 6.2659
O 1.0366 3.7741 7.8156
O 3.9898 4.0704 9.0325
O 1.8831 3.9827 4.2254
O 4.2072 3.8367 6.4317
O -0.8427 2.9865 2.8550
O 3.9253 1.1557 4.3851
O 1.7263 0.7844 2.8354
O -1.2270 0.4881 1.6185
O 0.8797 0.5758 6.4255
O -1.4444 0.7218 4.2193
O 3.6055 1.5720 7.7960
```

Summary:
Raw total energy: -5.49 eV per atom
Spin magnetization: 0.00 μB per cell


No. 5
An optimized crystal structure of AlOs2Br, computed with PBE.

Structure (extended XYZ):
```
4
Lattice="9.8997 0.0184 0.0108 9.4556 2.9318 0.0108 9.4556 1.4413 2.5531" Properties=species:S:1:pos:R:3 pbc="T T T"
Os 28.1114 4.2849 2.5122
Os 6.9446 1.0585 0.6206
Al 14.6175 2.2281 1.3063
Br 22.3538 3.4073 1.9977
```

Summary:
Energy relative to the lowest polymorph listed for this composition: 0.80 eV per formula unit
Raw total energy: -6.51 eV per atom
Spin magnetization: 0.00 μB per cell


No. 6
An optimized crystal structure of TeOsBr2, computed with PBE.

Structure (extended XYZ):
```
4
Lattice="5.5620 0.0195 0.0078 -2.4947 4.9712 0.0078 1.5254 2.4820 3.2454" Properties=species:S:1:pos:R:3 pbc="T T T"
Te -0.4846 3.7266 1.6266
Os 3.5437 1.2507 1.6266
Br 0.0000 0.0000 0.0000
Br 1.5336 2.4953 0.0078
```

Summary:
Energy relative to the lowest polymorph listed for this composition: 4.08 eV per formula unit
Raw total energy: -3.34 eV per atom
Spin magnetization: 0.00 μB per cell


No. 7
An optimized crystal structure of Pu2ScRu2, computed with PBE.

Structure (extended XYZ):
```
10
Lattice="-2.2164 1.9079 1.7536 -3.5226 -2.8996 -1.2975 3.0576 -7.7043 8.9163" Properties=species:S:1:pos:R:3 pbc="T T T"
Pu -2.4485 -2.8430 -0.0046
Pu -0.2329 -5.8530 9.3770
Pu -1.7295 -5.3345 3.6111
Pu -0.9519 -3.3615 5.7613
Sc -2.3601 -6.0380 6.8952
Sc -0.3213 -2.6580 2.4771
Ru -3.1887 -3.1628 2.7196
Ru 0.5073 -5.5332 6.6528
Ru -0.8820 -8.2709 7.8722
Ru -1.7995 -0.4251 1.5001
```

Summary:
ΔE_f: -0.212 eV/atom
Raw total energy: -10.92 eV per atom
Spin magnetization: 18.49 μB per cell


No. 8
An optimized crystal structure of LaInGa2Au5, computed with PBE.

Structure (extended XYZ):
```
9
Lattice="-4.2434 -0.4981 -2.6646 -1.5750 -3.5754 3.1766 -3.3701 5.3623 4.3646" Properties=species:S:1:pos:R:3 pbc="T T T"
La -1.6850 2.6812 2.1823
In 0.0000 0.0000 0.0000
Ga -3.4486 -1.1784 0.9546
Ga -5.7399 2.4673 3.9220
Au -1.6282 -0.4499 2.6771
Au -2.9625 1.0887 -0.2434
Au -3.3168 2.2369 4.8640
Au -4.6510 3.7755 1.9434
Au -4.5942 0.6444 2.4383
```

Summary:
ΔE_f: -0.355 eV/atom
Raw total energy: -3.70 eV per atom
Spin magnetization: 0.00 μB per cell


No. 9
An optimized crystal structure of HoP2Pt8, computed with PBE.

Structure (extended XYZ):
```
11
Lattice="-2.6536 -2.0403 -4.3124 -3.1872 -2.9136 3.3397 -1.7983 7.9816 0.7855" Properties=species:S:1:pos:R:3 pbc="T T T"
Ho -2.9204 -2.4770 -0.4863
P -3.9529 1.2955 1.8194
P -3.6861 1.7321 -2.0066
Pt -5.7945 -2.1067 -0.6445
Pt -1.8446 5.1344 0.4573
Pt -4.8053 2.6231 -0.0357
Pt -3.1897 4.1000 -1.7287
Pt -2.8337 0.4045 -0.1514
Pt -4.4494 -1.0725 1.5415
Pt -4.1788 -0.6297 -2.3374
Pt -3.4601 3.6574 2.1503
```

Summary:
ΔE_f: -0.302 eV/atom
Raw total energy: -6.09 eV per atom
Spin magnetization: 0.00 μB per cell


No. 10
An optimized crystal structure of Pm2Zn3Au, computed with PBE.

Structure (extended XYZ):
```
6
Lattice="3.9556 0.0000 -1.0529 -0.3100 4.0984 -1.1648 0.1123 0.1632 8.3786" Properties=species:S:1:pos:R:3 pbc="T T T"
Pm 0.4820 0.5511 1.8108
Pm 3.4323 1.6630 4.9378
Zn 2.6206 2.9614 1.8886
Zn 2.0058 2.2584 -0.4213
Zn 0.9670 3.3321 3.6329
Au 1.6108 4.0682 6.0516
```

Summary:
ΔE_f: -0.441 eV/atom
Energy relative to the lowest polymorph listed for this composition: 0.37 eV per formula unit
Raw total energy: -3.21 eV per atom
Spin magnetization: 0.00 μB per cell


No. 11
An optimized crystal structure of PuNbIr4, computed with PBE.

Structure (extended XYZ):
```
6
Lattice="5.2675 0.0000 0.0000 2.6337 4.5618 0.0000 2.6337 1.5206 4.3009" Properties=species:S:1:pos:R:3 pbc="T T T"
Nb 0.0000 0.0000 0.0000
Ir 5.2675 3.0412 0.5397
Ir 5.2675 1.5226 2.6874
Ir 6.5827 3.8005 2.6874
Ir 3.9523 3.8005 2.6874
Pu 2.6337 1.5206 1.0752
```

Summary:
ΔE_f: -0.341 eV/atom
Raw total energy: -10.32 eV per atom
Spin magnetization: 5.32 μB per cell


No. 12
An optimized crystal structure of Pr3CuB2Pd9, computed with PBE.

Structure (extended XYZ):
```
15
Lattice="6.6377 0.0000 0.0000 -3.3189 5.7484 0.0000 0.0000 0.0000 7.1111" Properties=species:S:1:pos:R:3 pbc="T T T"
Pr 0.0000 3.8323 4.7425
Pr 0.0000 0.0000 0.0000
Pr 3.3189 1.9161 2.3686
Cu 0.0000 0.0000 3.5556
B 0.0000 3.8323 1.0084
B 3.3189 1.9161 6.1027
Pd 4.7970 1.0628 4.8454
Pd 3.3189 3.6229 4.8454
Pd 1.8407 1.0628 4.8454
Pd 1.4781 4.6857 2.2657
Pd 0.0000 2.1255 2.2657
Pd -1.4781 4.6857 2.2657
Pd 3.3189 0.0000 0.0000
Pd -1.6594 2.8742 0.0000
Pd 1.6594 2.8742 0.0000
```

Summary:
ΔE_f: -0.519 eV/atom
Raw total energy: -5.75 eV per atom
Spin magnetization: 0.00 μB per cell


No. 13
An optimized crystal structure of Zr2Ga3Pd4, computed with PBE.

Structure (extended XYZ):
```
18
Lattice="5.4520 0.0000 0.0000 0.0000 7.5857 0.0000 -2.7260 0.0000 7.3764" Properties=species:S:1:pos:R:3 pbc="T T T"
Zr 0.0000 4.5157 1.5133
Zr 2.7260 3.0700 5.8631
Zr 0.0000 0.7229 5.8631
Zr 2.7260 6.8628 1.5133
Ga 0.0000 0.0000 0.0000
Ga 2.7260 3.7928 0.0000
Ga 1.3630 5.6893 3.8757
Ga 4.0890 1.8964 3.5007
Ga 1.3630 1.8964 3.5007
Ga -1.3630 5.6893 3.8757
Pd 1.3630 5.6893 6.4731
Pd 4.0890 1.8964 0.9033
Pd 1.3630 1.8964 0.9033
Pd -1.3630 5.6893 6.4731
Pd 0.0000 7.4693 2.6545
Pd 2.7260 0.1164 4.7219
Pd 0.0000 3.6765 4.7219
Pd 2.7260 3.9092 2.6545
```

Summary:
ΔE_f: -0.667 eV/atom
Raw total energy: -5.88 eV per atom
Spin magnetization: 0.00 μB per cell